# 1
VASP calculation (PBE-GGA) on Cd2GeAu after structural relaxation.

Output
Formation energy, eV per atom: 0.05
Symmetry: Cm (8)
VASP energy, eV per cell: -9.54

a b c (Å): 4.526 4.526 5.396
angles (deg): 70.62 70.62 63.70
Atoms (fractional coordinates):
Cd  0.263  0.263  0.195
Cd  0.071  0.071  0.782
Ge  0.500  0.500  0.531
Au  0.667  0.667  0.991

# 2
VASP calculation (PBE-GGA) on CdGe2Au after structural relaxation.

Output
Formation energy, eV per atom: 0.16
Symmetry: R-3m (166)
VASP energy, eV per cell: -12.78

a b c (Å): 2.948 2.948 11.196
angles (deg): 82.43 82.43 60.00
Atoms (fractional coordinates):
Ge  0.096  0.096  0.712
Ge  0.904  0.904  0.288
Cd  0.000  0.000  0.000
Au  0.500  0.500  0.500

# 3
VASP calculation (PBE-GGA) on CdGe3Au after structural relaxation.

Output
Formation energy, eV per atom: 0.57
Symmetry: Pm-3m (221)
Distance to the lowest polymorph of the same formula, meV/atom: 0.0
VASP energy, eV per cell: -15.20

a b c (Å): 5.086 5.086 5.086
angles (deg): 90.00 90.00 90.00
Atoms (fractional coordinates):
Cd  0.500  0.500  0.500
Ge  0.000  0.000  0.500
Ge  0.500  0.000  0.000
Ge  0.000  0.500  0.000
Au  0.000  0.000  0.000

# 4
VASP calculation (PBE-GGA) on CdGeAu2 after structural relaxation.

Output
Formation energy, eV per atom: 0.01
Symmetry: P4/mmm (123)
Distance to the lowest polymorph of the same formula, meV/atom: 78.3
VASP energy, eV per cell: -12.05

a b c (Å): 4.035 4.363 4.363
angles (deg): 90.00 90.00 90.00
Atoms (fractional coordinates):
Ge  0.500  0.000  0.000
Cd  0.500  0.500  0.500
Au  0.000  0.000  0.500
Au  0.000  0.500  0.000